1.
Computed, not measured: NdPuCuPb after structural relaxation at the PBE level of DFT.

The value obtained for the formation enthalpy at 0 K is -102.8 meV/atom. As for the density of states at the Fermi level: 37.6 states/eV/cell.

It has space group F-43m (No. 216), with a = 7.527 Å, b = 7.527 Å, c = 7.527 Å, α = 90.00°, β = 90.00° and γ = 90.00°. Symmetry generates all atoms from Nd at (0.000, 0.000, 0.000), Pu at (0.000, 0.000, 0.500), Cu at (0.250, 0.250, 0.750) and Pb at (0.250, 0.250, 0.250).


2.
Computed, not measured: NdCuRhPb after structural relaxation at the PBE level of DFT.

The value obtained for the formation enthalpy at 0 K is -278.2 meV/atom. As for the density of states at the Fermi level: 11.4 states/eV/cell.

It has space group F-43m (No. 216), with a = 6.910 Å, b = 6.910 Å, c = 6.910 Å, α = 90.00°, β = 90.00° and γ = 90.00°. Symmetry generates all atoms from Nd at (0.000, 0.000, 0.000), Cu at (0.250, 0.250, 0.250), Rh at (0.250, 0.250, 0.750) and Pb at (0.000, 0.000, 0.500).


3.
Computed, not measured: NdScCuPb after structural relaxation at the PBE level of DFT.

The value obtained for the formation enthalpy at 0 K is -252.8 meV/atom. As for the density of states at the Fermi level: 15.7 states/eV/cell.

It has space group F-43m (No. 216), with a = 7.303 Å, b = 7.303 Å, c = 7.303 Å, α = 90.00°, β = 90.00° and γ = 90.00°. Symmetry generates all atoms from Nd at (0.000, 0.000, 0.000), Sc at (0.000, 0.000, 0.500), Cu at (0.250, 0.250, 0.250) and Pb at (0.250, 0.250, 0.750).


4.
Computed, not measured: NdCuPbSe3 after structural relaxation at the PBE level of DFT.

As for the formation energy from raw total energies: -5.93 eV per formula unit.

It has space group P2_1/m (No. 11), with a = 8.767 Å, b = 4.137 Å, c = 9.115 Å, α = 90.00°, β = 102.60° and γ = 90.00°. Symmetry generates all atoms from Nd at (0.173, 0.250, 0.174), Cu at (0.421, 0.750, 0.422), Pb at (0.319, 0.750, 0.768), Se at (0.071, 0.250, 0.835), Se at (0.286, 0.250, 0.499) and Se at (0.402, 0.750, 0.140).


5.
Computed, not measured: SrNdCuPb after structural relaxation at the PBE level of DFT.

The value obtained for the formation enthalpy at 0 K is -275.0 meV/atom. As for the density of states at the Fermi level: 6.3 states/eV/cell.

It has space group F-43m (No. 216), with a = 7.756 Å, b = 7.756 Å, c = 7.756 Å, α = 90.00°, β = 90.00° and γ = 90.00°. Symmetry generates all atoms from Sr at (0.000, 0.000, 0.000), Nd at (0.000, 0.000, 0.500), Cu at (0.250, 0.250, 0.250) and Pb at (0.250, 0.250, 0.750).


6.
Computed, not measured: NdYCuPb after structural relaxation at the PBE level of DFT.

The value obtained for the formation enthalpy at 0 K is -311.9 meV/atom. As for the density of states at the Fermi level: 17.0 states/eV/cell.

It has space group F-43m (No. 216), with a = 7.487 Å, b = 7.487 Å, c = 7.487 Å, α = 90.00°, β = 90.00° and γ = 90.00°. Symmetry generates all atoms from Nd at (0.000, 0.000, 0.000), Y at (0.000, 0.000, 0.500), Cu at (0.250, 0.250, 0.750) and Pb at (0.250, 0.250, 0.250).


7.
Computed, not measured: Nd3Cu3Pd after structural relaxation at the PBE level of DFT.

The value obtained for the formation enthalpy at 0 K is -332.3 meV/atom. As for the density of states at the Fermi level: 12.2 states/eV/cell.

It has space group Imm2 (No. 44), with a = 3.880 Å, b = 4.342 Å, c = 19.018 Å, α = 90.00°, β = 90.00° and γ = 90.00°. Symmetry generates all atoms from Nd at (0.000, 0.000, 0.000), Nd at (0.000, 0.000, 0.365), Nd at (0.000, 0.500, 0.185), Cu at (0.000, 0.000, 0.547), Cu at (0.000, 0.000, 0.827), Cu at (0.000, 0.500, 0.615) and Pd at (0.000, 0.500, 0.748).


8.
Computed, not measured: Nd3Cu8Pd after structural relaxation at the PBE level of DFT.

The value obtained for the formation enthalpy at 0 K is -172.4 meV/atom. As for the density of states at the Fermi level: 34.1 states/eV/cell.

It has space group R3m (No. 160, hexagonal axes), with a = 5.1862 Å, b = 5.1862 Å, c = 26.1294 Å, α = 90.00°, β = 90.00° and γ = 120.00°. Symmetry generates all atoms from Nd at (0.0000, 0.0000, 0.0000), Nd at (0.0000, 0.0000, 0.1283), Nd at (0.0000, 0.0000, 0.6088), Cu at (0.0000, 0.0000, 0.3071), Cu at (0.0000, 0.0000, 0.8082), Cu at (0.0018, 0.5009, 0.0601), Cu at (0.0087, 0.5044, 0.5556) and Pd at (0.0000, 0.0000, 0.4906).


9.
Computed, not measured: Nd4Cu2Pd5 after structural relaxation at the PBE level of DFT.

The value obtained for the formation enthalpy at 0 K is -653.7 meV/atom. As for the density of states at the Fermi level: 4.5 states/eV/cell.

It has space group P2/m (No. 10), with a = 7.246 Å, b = 3.926 Å, c = 8.399 Å, α = 90.00°, β = 90.76° and γ = 90.00°. Symmetry generates all atoms from Nd at (0.234, 0.000, 0.375), Nd at (0.261, 0.000, 0.880), Cu at (0.082, 0.500, 0.125), Pd at (0.133, 0.500, 0.631), Pd at (0.438, 0.500, 0.161) and Pd at (0.500, 0.500, 0.500).


10.
Computed, not measured: Nd8CuPd2 after structural relaxation at the PBE level of DFT.

As for the energy above the most stable polymorph in this dataset: 114.0 meV per atom. The value obtained for the formation enthalpy at 0 K is -173.4 meV/atom. As for the density of states at the Fermi level: 29.7 states/eV/cell.

It has space group Cm (No. 8), with a = 8.585 Å, b = 13.321 Å, c = 6.233 Å, α = 90.00°, β = 109.89° and γ = 90.00°. Symmetry generates all atoms from Nd at (0.000, 0.000, 0.000), Nd at (0.077, 0.370, 0.792), Nd at (0.142, 0.129, 0.556), Nd at (0.223, 0.500, 0.369), Nd at (0.355, 0.209, 0.181), Cu at (0.368, 0.000, 0.385) and Pd at (0.363, 0.308, 0.687).


11.
Computed, not measured: Nd12CuPd6 after structural relaxation at the PBE level of DFT.

The value obtained for the formation enthalpy at 0 K is -372.9 meV/atom. As for the density of states at the Fermi level: 71.5 states/eV/cell.

It has space group R-3 (No. 148, hexagonal axes), with a = 12.9825 Å, b = 12.9825 Å, c = 12.0928 Å, α = 90.00°, β = 90.00° and γ = 120.00°. Symmetry generates all atoms from Nd at (0.0257, 0.8140, 0.3913), Nd at (0.0395, 0.8341, 0.8841), Cu at (0.0000, 0.0000, 0.0000) and Pd at (0.0433, 0.7789, 0.6465).


12.
Computed, not measured: NdCu4Pd after structural relaxation at the PBE level of DFT.

As for the energy above the most stable polymorph in this dataset: 0.0 meV per atom. The value obtained for the formation enthalpy at 0 K is -300.9 meV/atom. As for the density of states at the Fermi level: 11.2 states/eV/cell.

It has space group F-43m (No. 216), with a = 7.179 Å, b = 7.179 Å, c = 7.179 Å, α = 90.00°, β = 90.00° and γ = 90.00°. Symmetry generates all atoms from Nd at (0.000, 0.000, 0.000), Cu at (0.124, 0.124, 0.376) and Pd at (0.250, 0.250, 0.750).


The size of the total moment results, record by record, are as follows: 1.555 0.000 0.159 0.000 0.000 0.076 0.000 0.000 0.000 0.000 0.000 0.000 μB/atom.